# 1
Nd8C3S4N, relaxed, DFT PBE-GGA; formation energy without anion corrections = -1.271 eV/atom; space group = No. 166
1.0
3.8644 2.2311 6.6078
-3.8644 2.2311 6.6078
0.0000 -4.4622 6.6078
Nd C S N
8 3 4 1
Direct
0.2380 0.7383 0.7383
0.2396 0.2396 0.2396
0.2617 0.2617 0.7620
0.2617 0.7620 0.2617
0.7383 0.2380 0.7383
0.7383 0.7383 0.2380
0.7604 0.7604 0.7604
0.7620 0.2617 0.2617
0.0000 0.0000 0.5000
0.0000 0.5000 0.0000
0.5000 0.0000 0.0000
0.0000 0.0000 0.0000
0.0000 0.5000 0.5000
0.5000 0.0000 0.5000
0.5000 0.5000 0.0000
0.5000 0.5000 0.5000

---

# 2
Ba3TlIn, relaxed, DFT PBE-GGA; ΔE to the lowest computed polymorph = 0.00 eV/f.u.; energy relative to the elements = -0.34 eV per atom; space group = No. 63
1.0
3.0731 -11.7676 0.0000
3.0731 11.7676 0.0000
0.0000 0.0000 6.1409
Ba Tl In
6 2 2
Direct
0.0764 0.9236 0.7500
0.2500 0.7500 0.7500
0.4239 0.5761 0.7500
0.5761 0.4239 0.2500
0.7500 0.2500 0.2500
0.9236 0.0764 0.2500
0.1586 0.8414 0.2500
0.8414 0.1586 0.7500
0.3409 0.6591 0.2500
0.6591 0.3409 0.7500

---

# 3
ZrSbRh, relaxed, DFT PBE-GGA; formation energy without anion corrections = -0.724 eV/atom; space group = No. 187
1.0
4.5568 0.0000 0.0000
-2.2784 3.9463 0.0000
0.0000 0.0000 3.1928
Zr Sb Rh
1 1 1
Direct
0.0000 0.0000 0.0000
0.6667 0.3333 0.5000
0.3333 0.6667 0.5000